DFT (PBE) results for a geometry-optimized Sm2BeCuPt6 structure.

Cell: 7.648 7.648 7.648 Å, 42.92 42.92 42.92°
Fractional positions:
Sm: 0.207 0.207 0.207
Sm: 0.793 0.793 0.793
Be: 0.000 0.000 0.000
Cu: 0.500 0.500 0.500
Pt: 0.241 0.241 0.732
Pt: 0.241 0.732 0.241
Pt: 0.268 0.759 0.759
Pt: 0.732 0.241 0.241
Pt: 0.759 0.268 0.759
Pt: 0.759 0.759 0.268

Values from the calculation:
The total magnetic moment is 0.00 μB per atom. The calculation puts the density of states at the Fermi level at 5.87 states/eV per cell. The value obtained for the formation enthalpy at 0 K is -0.732 eV/atom. As for the raw total energy: -6.08 eV per atom.